Material: NaFeAgTeSe2
Method: DFT, PBE
State: relaxed

Cell lengths 7.496, 7.496, 10.535 Å; angles 90.00, 90.00, 152.49 degrees
Atoms (fractional coordinates):
1 Na 0.236 0.764 0.750
2 Na 0.764 0.236 0.250
3 Fe 0.000 0.000 0.000
4 Fe 0.000 0.000 0.500
5 Ag 0.432 0.568 0.250
6 Ag 0.568 0.432 0.750
7 Te 0.084 0.916 0.250
8 Te 0.916 0.084 0.750
9 Se 0.381 0.619 0.019
10 Se 0.381 0.619 0.481
11 Se 0.619 0.381 0.519
12 Se 0.619 0.381 0.981

Values from the calculation:
Its space group is No. 63. For the calculated density, the calculation gives 5735 kg/m³. Its final energy is -3.990 eV/atom.

=====

Material: NaFeAgTe3
Method: DFT, PBE
State: relaxed

Cell lengths 7.489, 7.489, 10.907 Å; angles 90.00, 90.00, 150.36 degrees
Atoms (fractional coordinates):
1 Na 0.236 0.764 0.750
2 Na 0.764 0.236 0.250
3 Fe 0.000 0.000 0.000
4 Fe 0.000 0.000 0.500
5 Ag 0.436 0.564 0.250
6 Ag 0.564 0.436 0.750
7 Te 0.078 0.922 0.250
8 Te 0.370 0.630 0.017
9 Te 0.370 0.630 0.483
10 Te 0.630 0.370 0.517
11 Te 0.630 0.370 0.983
12 Te 0.922 0.078 0.750

Values from the calculation:
Its space group is No. 63. For the calculated density, the calculation gives 6252 kg/m³. Its final energy is -3.788 eV/atom.

=====

Material: NbFe2Ag
Method: DFT, PBE
State: relaxed

Cell lengths 4.390, 4.390, 4.390 Å; angles 60.00, 60.00, 60.00 degrees
Atoms (fractional coordinates):
1 Nb 0.000 0.000 0.000
2 Fe 0.500 0.500 0.500
3 Fe 0.750 0.750 0.750
4 Ag 0.250 0.250 0.250

Values from the calculation:
Its space group is No. 216. For the calculated density, the calculation gives 8673 kg/m³. Its final energy is -6.998 eV/atom. The value obtained for the calculated formation energy is 386 meV per atom.

=====

Material: NbFeAg2
Method: DFT, PBE
State: relaxed

Cell lengths 4.523, 4.523, 4.523 Å; angles 60.00, 60.00, 60.00 degrees
Atoms (fractional coordinates):
1 Nb 0.000 0.000 0.000
2 Fe 0.250 0.250 0.250
3 Ag 0.500 0.500 0.500
4 Ag 0.750 0.750 0.750

Values from the calculation:
Its space group is No. 216. For the calculated density, the calculation gives 9249 kg/m³. Its final energy is -5.603 eV/atom. The value obtained for the calculated formation energy is 410 meV per atom.

=====

Material: NbFeAgSb
Method: DFT, PBE
State: relaxed

Cell lengths 4.612, 4.612, 4.612 Å; angles 60.00, 60.00, 60.00 degrees
Atoms (fractional coordinates):
1 Nb 0.000 0.000 0.000
2 Fe 0.500 0.500 0.500
3 Ag 0.750 0.750 0.750
4 Sb 0.250 0.250 0.250

Values from the calculation:
Its space group is No. 216. For the calculated density, the calculation gives 9057 kg/m³. Its final energy is -6.002 eV/atom. The distance to the lowest polymorph of the same formula comes out at 0.000 eV/f.u.

=====

Material: NbFeSiAg
Method: DFT, PBE
State: relaxed

Cell lengths 4.401, 4.401, 4.401 Å; angles 60.00, 60.00, 60.00 degrees
Atoms (fractional coordinates):
1 Nb 0.000 0.000 0.000
2 Fe 0.500 0.500 0.500
3 Si 0.250 0.250 0.250
4 Ag 0.750 0.750 0.750

Values from the calculation:
Its space group is No. 216. For the calculated density, the calculation gives 7844 kg/m³. Its final energy is -6.473 eV/atom. The distance to the lowest polymorph of the same formula comes out at 0.000 eV/f.u.

=====

Material: NbFeAgSn
Method: DFT, PBE
State: relaxed

Cell lengths 4.580, 4.580, 4.580 Å; angles 60.00, 60.00, 60.00 degrees
Atoms (fractional coordinates):
1 Nb 0.000 0.000 0.000
2 Fe 0.750 0.750 0.750
3 Ag 0.250 0.250 0.250
4 Sn 0.500 0.500 0.500

Values from the calculation:
Its space group is No. 216. For the calculated density, the calculation gives 9176 kg/m³. Its final energy is -6.066 eV/atom. The distance to the lowest polymorph of the same formula comes out at 0.000 eV/f.u.

=====

Material: NbZnFeAg
Method: DFT, PBE
State: relaxed

Cell lengths 4.440, 4.440, 4.440 Å; angles 60.00, 60.00, 60.00 degrees
Atoms (fractional coordinates):
1 Nb 0.000 0.000 0.000
2 Zn 0.500 0.500 0.500
3 Fe 0.750 0.750 0.750
4 Ag 0.250 0.250 0.250

Values from the calculation:
Its space group is No. 216. For the calculated density, the calculation gives 8637 kg/m³. Its final energy is -5.374 eV/atom. The distance to the lowest polymorph of the same formula comes out at 0.000 eV/f.u. The value obtained for the calculated formation energy is 249 meV per atom.

=====

Magnetization values, unit Bohr magnetons per cell, following the record order: 4.83, 4.98, 4.23, 1.63, 1.95, 2.24, 0.70, 1.61.